A geometry-optimized NaCaO2F structure. Source: Alexandria, functional PBE.

Lattice parameters (Å, degrees): 4.125 4.125 4.128 90.00 90.00 90.00
Last column: magnetic moment on the atom in μB.
Element x y z (fractional)
Na 0.000 0.000 0.000  0.02
Ca 0.500 0.500 0.500  -0.02
O 0.000 0.500 0.000  0.81
O 0.500 0.000 0.000  0.81
F 0.000 0.000 0.500  0.06

## Properties
Final energy ... -4.447 eV per atom
DOS(E_F) ... 3.057 states/eV/f.u.
Uncorrected formation energy ... -1425 meV/atom
Space-group type ... No. 123